Record 1
A plane-wave DFT calculation with PBE-GGA was carried out for a geometry-optimized Li2CaGa2 structure.

E	-2.60	eV/atom
relative energy among the computed polymorphs	63	meV per atom
ρ	3.154	g/cm³
formation energy	-0.22	eV/atom

a b c (Å): 7.919 7.919 3.247
angles (deg): 90.00 90.00 90.00
Fractional positions:
1 Li 0.828 0.328 0.500
2 Ca 0.000 0.000 0.000
3 Li 0.172 0.672 0.500
4 Li 0.672 0.828 0.500
5 Li 0.328 0.172 0.500
6 Ca 0.500 0.500 0.000
7 Ga 0.379 0.879 0.000
8 Ga 0.621 0.121 0.000
9 Ga 0.121 0.379 0.000
10 Ga 0.879 0.621 0.000

=====

Record 2
A plane-wave DFT calculation with PBE-GGA was carried out for a geometry-optimized LiCa5Ga2 structure.

E	-2.50	eV/atom
ρ	2.297	g/cm³
formation energy	-0.25	eV/atom

a b c (Å): 8.284 8.284 9.363
angles (deg): 116.26 116.26 90.00
Fractional positions:
1 Ca 0.198 0.029 0.727
2 Ca 0.000 0.000 0.000
3 Ca 0.698 0.198 0.727
4 Ca 0.529 0.698 0.727
5 Li 0.250 0.250 0.500
6 Ca 0.302 0.802 0.273
7 Ca 0.471 0.302 0.273
8 Ca 0.971 0.471 0.273
9 Ga 0.377 0.877 0.000
10 Li 0.750 0.750 0.500
11 Ca 0.500 0.500 0.000
12 Ga 0.877 0.623 0.000
13 Ga 0.623 0.123 0.000
14 Ga 0.123 0.377 0.000
15 Ca 0.029 0.529 0.727
16 Ca 0.802 0.971 0.273

=====

Record 3
A plane-wave DFT calculation with PBE-GGA was carried out for a geometry-optimized LiCa8Ga2 structure.

E	-2.36	eV/atom
relative energy among the computed polymorphs	0	meV per atom
ρ	2.135	g/cm³
formation energy	-0.18	eV/atom

a b c (Å): 5.211 7.730 9.889
angles (deg): 108.33 105.28 90.00
Fractional positions:
1 Ca 0.966 0.226 0.932
2 Ca 0.034 0.774 0.068
3 Ca 0.601 0.477 0.201
4 Ca 0.676 0.961 0.351
5 Ca 0.399 0.523 0.799
6 Ca 0.198 0.310 0.397
7 Li 0.500 0.000 0.000
8 Ca 0.324 0.039 0.649
9 Ca 0.802 0.690 0.603
10 Ga 0.815 0.300 0.630
11 Ga 0.185 0.700 0.370

=====

Record 4
A plane-wave DFT calculation with PBE-GGA was carried out for a geometry-optimized Li8Ca3Ga structure.

E	-2.06	eV/atom
ρ	1.431	g/cm³
formation energy	-0.04	eV/atom

a b c (Å): 5.779 5.779 10.397
angles (deg): 73.87 73.87 60.00
Fractional positions:
1 Li 0.063 0.568 0.800
2 Li 0.568 0.568 0.800
3 Li 0.061 0.548 0.331
4 Li 0.061 0.061 0.331
5 Ga 0.128 0.128 0.616
6 Li 0.548 0.061 0.331
7 Ca 0.014 0.014 0.957
8 Ca 0.492 0.492 0.523
9 Li 0.810 0.810 0.569
10 Ca 0.623 0.623 0.132
11 Li 0.314 0.314 0.059
12 Li 0.568 0.063 0.800

=====

DOS(E_F) across the listed records, respectively: 0.451, 0.778, 0.864, 0.475 states/eV per atom.